Entry 1:
The following is a DFT calculation (PBE-GGA) of crystalline BaSb2PtAu at its relaxed geometry.

Lattice parameters (Å, degrees): 4.9405 4.7902 11.0589 90.00 91.46 90.00
With the nearest neighbours (Å) after each atom.
Fractional positions:
Ba 0.2430 0.2500 0.2402  3 Pt 3.34-3.60, 4 Sb 3.63-3.73, 4 Au 3.67-3.69
Ba 0.7570 0.7500 0.7598  3 Pt 3.34-3.60, 4 Sb 3.63-3.73, 4 Au 3.67-3.69
Sb 0.2508 0.7500 0.4985  4 Au 2.87-2.94
Sb 0.3006 0.2500 0.8934  4 Pt 2.72-2.77, 1 Au 2.78
Sb 0.6994 0.7500 0.1066  4 Pt 2.72-2.77, 1 Au 2.78
Sb 0.7492 0.2500 0.5015  4 Au 2.87-2.94
Pt 0.1873 0.7500 0.9980  4 Sb 2.72-2.77, 2 Pt 3.03
Pt 0.8127 0.2500 0.0020  4 Sb 2.72-2.77, 2 Pt 3.03
Au 0.2531 0.2500 0.6421  5 Sb 2.78-2.94
Au 0.7469 0.7500 0.3579  5 Sb 2.78-2.94

Results
- Space-group type: P2_1/m

***

Entry 2:
The following is a DFT calculation (PBE-GGA) of crystalline ErLuPt2 at its relaxed geometry.

Lattice parameters (Å, degrees): 5.5120 4.4533 6.8978 90.00 90.42 90.00
With the nearest neighbours (Å) after each atom.
Fractional positions:
Er 0.1418 0.2500 0.1819  7 Pt 2.84-3.00
Er 0.8582 0.7500 0.8181  7 Pt 2.84-3.00
Lu 0.3593 0.2500 0.6805  7 Pt 2.83-3.01
Lu 0.6407 0.7500 0.3195  7 Pt 2.83-3.01
Pt 0.1591 0.7500 0.4576  4 Lu 2.83-3.01, 2 Pt 2.90, 3 Er 2.93-3.00
Pt 0.3451 0.7500 0.9539  4 Er 2.84-2.99, 2 Pt 2.87, 3 Lu 2.92-2.99
Pt 0.6549 0.2500 0.0461  4 Er 2.84-2.99, 2 Pt 2.87, 3 Lu 2.92-2.99
Pt 0.8409 0.2500 0.5424  4 Lu 2.83-3.01, 2 Pt 2.90, 3 Er 2.93-3.00

Results
- Space-group type: P2_1/m
- Formation energy: -5.31 eV/f.u.

***

Entry 3:
The following is a DFT calculation (PBE-GGA) of crystalline Dy6HgPd2 at its relaxed geometry.

Lattice parameters (Å, degrees): 8.5225 8.5225 8.5225 112.86 110.13 105.50
With the nearest neighbours (Å) after each atom.
Fractional positions:
Dy 0.0434 0.2386 0.8047  1 Pd 2.87, 1 Hg 3.11
Dy 0.1814 0.2874 0.4689  3 Pd 3.01-3.15, 1 Hg 3.24
Dy 0.1814 0.7126 0.8940  3 Pd 3.01-3.15, 1 Hg 3.24
Dy 0.3283 0.0289 0.7005  3 Pd 2.76-2.99
Dy 0.3283 0.6278 0.2995  3 Pd 2.76-2.99
Dy 0.4339 0.2386 0.1953  1 Pd 2.87, 1 Hg 3.11
Dy 0.5661 0.7614 0.8047  1 Pd 2.87, 1 Hg 3.11
Dy 0.6717 0.3722 0.7005  3 Pd 2.76-2.99
Dy 0.6717 0.9711 0.2995  3 Pd 2.76-2.99
Dy 0.8186 0.2874 0.1060  3 Pd 3.01-3.15, 1 Hg 3.24
Dy 0.8186 0.7126 0.5311  3 Pd 3.01-3.15, 1 Hg 3.24
Dy 0.9566 0.7614 0.1953  1 Pd 2.87, 1 Hg 3.11
Hg 0.0000 0.0000 0.0000  8 Dy 3.11-3.24, 2 Pd 3.38
Hg 0.5000 0.5000 0.0000  8 Dy 3.30-3.33
Pd 0.1334 0.6334 0.5000  1 Pd 2.75, 6 Dy 2.76-3.01
Pd 0.3460 0.0000 0.3460  8 Dy 2.87-3.15, 1 Pd 3.01
Pd 0.6540 0.0000 0.6540  8 Dy 2.87-3.15, 1 Pd 3.01
Pd 0.8666 0.3666 0.5000  1 Pd 2.75, 6 Dy 2.76-3.01

Results
- Space-group type: Immm
- Formation energy: -4.79 eV/f.u.

***

no.,DFT total energy (Ry/atom),theoretical density (g/cm3)
1,-0.3365,9.811
2,-0.4871,14.366
3,-0.3516,9.717